# ZnRh (PBE, relaxed)
data_ZnRh
_symmetry_space_group_name_H-M 'P 63/m m c'
_symmetry_Int_Tables_number 194
_symmetry_space_group_name_Hall '-P 6c 2c'
_cell_length_a 2.8101
_cell_length_b 2.8101
_cell_length_c 8.2636
_cell_angle_alpha 90.00
_cell_angle_beta 90.00
_cell_angle_gamma 120.00
loop_
_atom_site_label
_atom_site_type_symbol
_atom_site_fract_x
_atom_site_fract_y
_atom_site_fract_z
Zn1 Zn 0.3333 0.6667 0.2500
Rh1 Rh 0.0000 0.0000 0.0000
# * total moment: 0.00 μB per formula unit
# * E_form: -284 meV/atom



# ZnRh (PBE, relaxed)
data_ZnRh
_symmetry_space_group_name_H-M 'C 1 2/m 1'
_symmetry_Int_Tables_number 12
_cell_length_a 9.621
_cell_length_b 2.832
_cell_length_c 4.473
_cell_angle_alpha 90.00
_cell_angle_beta 112.61
_cell_angle_gamma 90.00
loop_
_symmetry_equiv_pos_as_xyz
'x,y,z'
'-x,-y,-z'
'-x,y,-z'
'x,-y,z'
'x+1/2,y+1/2,z'
'-x+1/2,-y+1/2,-z'
'-x+1/2,y+1/2,-z'
'x+1/2,-y+1/2,z'
loop_
_atom_site_label
_atom_site_type_symbol
_atom_site_fract_x
_atom_site_fract_y
_atom_site_fract_z
Zn1 Zn 0.118 0.000 0.296
Rh1 Rh 0.130 0.500 0.799
# * total moment: 0.00 μB per formula unit
# * E_form: -319 meV/atom



# Zn3Rh (PBE, relaxed)
data_Zn3Rh
_symmetry_space_group_name_H-M 'R -3 m'
_symmetry_Int_Tables_number 166
_symmetry_space_group_name_Hall '-R 3 2"'
_cell_length_a 8.4248
_cell_length_b 8.4248
_cell_length_c 2.8012
_cell_angle_alpha 90.00
_cell_angle_beta 90.00
_cell_angle_gamma 120.00
loop_
_atom_site_label
_atom_site_type_symbol
_atom_site_fract_x
_atom_site_fract_y
_atom_site_fract_z
Zn1 Zn 0.0000 0.5000 0.0000
Rh1 Rh 0.0000 0.0000 0.0000
# * total moment: 0.00 μB per formula unit
# * E_form: -202 meV/atom



# Zr3Zn2Rh (PBE, relaxed)
data_Zr3Zn2Rh
_symmetry_space_group_name_H-M 'P 4/m m m'
_symmetry_Int_Tables_number 123
_symmetry_space_group_name_Hall '-P 4 2'
_cell_length_a 3.371
_cell_length_b 3.371
_cell_length_c 9.727
_cell_angle_alpha 90.00
_cell_angle_beta 90.00
_cell_angle_gamma 90.00
loop_
_atom_site_label
_atom_site_type_symbol
_atom_site_fract_x
_atom_site_fract_y
_atom_site_fract_z
Zr1 Zr 0.000 0.000 0.000
Zr2 Zr 0.000 0.000 0.338
Zn1 Zn 0.500 0.500 0.169
Rh1 Rh 0.500 0.500 0.500
# * total moment: 0.00 μB per formula unit
# * E_form: -439 meV/atom



# Zr2ZnRh4 (PBE, relaxed)
data_Zr2ZnRh4
_symmetry_space_group_name_H-M 'I 4/m m m'
_symmetry_Int_Tables_number 139
_symmetry_space_group_name_Hall '-I 4 2'
_cell_length_a 3.838
_cell_length_b 3.838
_cell_length_c 17.395
_cell_angle_alpha 90.00
_cell_angle_beta 90.00
_cell_angle_gamma 90.00
loop_
_atom_site_label
_atom_site_type_symbol
_atom_site_fract_x
_atom_site_fract_y
_atom_site_fract_z
Zr1 Zr 0.000 0.000 0.121
Zn1 Zn 0.000 0.000 0.500
Rh1 Rh 0.000 0.000 0.359
Rh2 Rh 0.000 0.500 0.250
# * total moment: 0.00 μB per formula unit
# * E_form: -377 meV/atom



# Zr2Zn16Rh (PBE, relaxed)
data_Zr2Zn16Rh
_symmetry_space_group_name_H-M 'R 3 m'
_symmetry_Int_Tables_number 160
_symmetry_space_group_name_Hall 'R 3 -2"'
_cell_length_a 8.8033
_cell_length_b 8.8033
_cell_length_c 12.9469
_cell_angle_alpha 90.00
_cell_angle_beta 90.00
_cell_angle_gamma 120.00
loop_
_atom_site_label
_atom_site_type_symbol
_atom_site_fract_x
_atom_site_fract_y
_atom_site_fract_z
Zr1 Zr 0.0000 0.0000 0.0000
Zr2 Zr 0.0000 0.0000 0.3364
Zn1 Zn 0.0000 0.0000 0.7668
Zn2 Zn 0.0005 0.5003 0.1627
Zn3 Zn 0.0028 0.5014 0.8095
Zn4 Zn 0.0397 0.3724 0.3276
Zn5 Zn 0.1773 0.3546 0.8476
Rh1 Rh 0.0000 0.0000 0.5609
# * total moment: 0.00 μB per formula unit
# * E_form: -183 meV/atom



# Zr2ZnRh (PBE, relaxed)
data_Zr2ZnRh
_symmetry_space_group_name_H-M 'P 4 m m'
_symmetry_Int_Tables_number 99
_cell_length_a 3.301
_cell_length_b 3.301
_cell_length_c 6.755
_cell_angle_alpha 90.00
_cell_angle_beta 90.00
_cell_angle_gamma 90.00
loop_
_symmetry_equiv_pos_as_xyz
'x,y,z'
'-y,x,z'
'-x,-y,z'
'y,-x,z'
'-x,y,z'
'y,x,z'
'x,-y,z'
'-y,-x,z'
loop_
_atom_site_label
_atom_site_type_symbol
_atom_site_fract_x
_atom_site_fract_y
_atom_site_fract_z
Zr1 Zr 0.000 0.000 0.000
Zr2 Zr 0.500 0.500 0.307
Zn1 Zn 0.500 0.500 0.739
Rh1 Rh 0.000 0.000 0.537
# * total moment: 0.00 μB per formula unit
# * E_form: -449 meV/atom



# ZrZn2Rh (PBE, relaxed)
data_ZrZn2Rh
_symmetry_space_group_name_H-M 'I m m 2'
_symmetry_Int_Tables_number 44
_cell_length_a 4.135
_cell_length_b 4.324
_cell_length_c 7.271
_cell_angle_alpha 90.00
_cell_angle_beta 90.00
_cell_angle_gamma 90.00
loop_
_symmetry_equiv_pos_as_xyz
'x,y,z'
'-x,-y,z'
'-x,y,z'
'x,-y,z'
'x+1/2,y+1/2,z+1/2'
'-x+1/2,-y+1/2,z+1/2'
'-x+1/2,y+1/2,z+1/2'
'x+1/2,-y+1/2,z+1/2'
loop_
_atom_site_label
_atom_site_type_symbol
_atom_site_fract_x
_atom_site_fract_y
_atom_site_fract_z
Zr1 Zr 0.000 0.000 0.000
Zn1 Zn 0.000 0.000 0.503
Zn2 Zn 0.000 0.500 0.243
Rh1 Rh 0.000 0.500 0.751
# * total moment: 0.00 μB per formula unit
# * E_form: -413 meV/atom



What did the fourth record say?
# Zr3Zn2Rh (PBE, relaxed)
data_Zr3Zn2Rh
_symmetry_space_group_name_H-M 'P 4/m m m'
_symmetry_Int_Tables_number 123
_symmetry_space_group_name_Hall '-P 4 2'
_cell_length_a 3.371
_cell_length_b 3.371
_cell_length_c 9.727
_cell_angle_alpha 90.00
_cell_angle_beta 90.00
_cell_angle_gamma 90.00
loop_
_atom_site_label
_atom_site_type_symbol
_atom_site_fract_x
_atom_site_fract_y
_atom_site_fract_z
Zr1 Zr 0.000 0.000 0.000
Zr2 Zr 0.000 0.000 0.338
Zn1 Zn 0.500 0.500 0.169
Rh1 Rh 0.500 0.500 0.500
# * total moment: 0.00 μB per formula unit
# * E_form: -439 meV/atom